[1]
A relaxed structure of Tm4HC2O. Source: Alexandria, functional GGA-PBE.

The structure belongs to space group P2/m (No. 10); the cell edges are 5.927, 3.503 and 6.063 Å and the angles 90.00°, 109.18° and 90.00°. The inequivalent atoms are Tm at (0.233, 0.000, 0.233), Tm at (0.236, 0.500, 0.750), H at (0.500, 0.500, 0.500), C at (0.000, 0.000, 0.500), C at (0.000, 0.500, 0.000) and O at (0.500, 0.000, 0.000).

The uncorrected energy comes out at -53.74 eV for the cell shown. Its theoretical density is 10.01 g/cm³.

[2]
A relaxed structure of Ba6IrPb2N. Source: Alexandria, functional GGA-PBE.

The structure belongs to space group Fmm2 (No. 42); the cell edges are 11.640, 11.650 and 11.688 Å and the angles 90.00°, 90.00° and 90.00°. The inequivalent atoms are Ba at (0.000, 0.000, 0.000), Ba at (0.000, 0.000, 0.480), Ba at (0.000, 0.239, 0.240), Ba at (0.239, 0.000, 0.240), Ir at (0.000, 0.000, 0.740), Pb at (0.250, 0.250, 0.490) and N at (0.000, 0.000, 0.240).

The calculation puts the uncorrected formation energy at -0.323 eV/atom. Its theoretical density is 6.05 g/cm³.

[3]
A relaxed structure of SrScNi2H8. Source: Alexandria, functional GGA-PBE.

The structure belongs to space group R-3 (No. 148, hexagonal axes); the cell edges are 4.7262, 4.7262 and 18.0420 Å and the angles 90.00°, 90.00° and 120.00°. The inequivalent atoms are Sr at (0.0000, 0.0000, 0.0000), Sc at (0.0000, 0.0000, 0.5000), Ni at (0.0000, 0.0000, 0.2215), H at (0.0000, 0.0000, 0.3052) and H at (0.0184, 0.3763, 0.5577).

The uncorrected energy comes out at -145.82 eV for the cell shown. Its theoretical density is 3.68 g/cm³.

Number 1: M_tot 0.000 Bohr magnetons per cell. Number 2: M_tot 0.174 Bohr magnetons per cell. Number 3: M_tot 0.000 Bohr magnetons per cell.